U2Mn2NbC4 | PBE | optimized geometry

Values from the calculation:
SG   C2/m
E   -9.88 eV per atom
Energy of formation   -0.111 eV/atom

a b c (Å): 6.7919 6.7919 5.5622
angles (deg): 104.17 104.17 26.18
Fractional coordinates of all 9 atoms:
U (0.1266, 0.1266, 0.0318)
U (0.8734, 0.8734, 0.9682)
Mn (0.3195, 0.3195, 0.4715)
Mn (0.6805, 0.6805, 0.5285)
Nb (0.0000, 0.0000, 0.5000)
C (0.2387, 0.2387, 0.7299)
C (0.4561, 0.4561, 0.7440)
C (0.5439, 0.5439, 0.2560)
C (0.7613, 0.7613, 0.2701)

=====

CaY2GaO | PBE | optimized geometry

Values from the calculation:
SG   P4/mmm
E   -5.99 eV per atom

a b c (Å): 4.7429 4.7429 4.7084
angles (deg): 90.00 90.00 90.00
Fractional coordinates of all 5 atoms:
Ca (0.0000, 0.0000, 0.0000)
Y (0.0000, 0.5000, 0.5000)
Y (0.5000, 0.0000, 0.5000)
Ga (0.5000, 0.5000, 0.0000)
O (0.0000, 0.0000, 0.5000)

=====

HfSc2NiSn | PBE | optimized geometry

Values from the calculation:
SG   P4/mmm
E   -5.80 eV per atom
Energy of formation   0.678 eV/atom

a b c (Å): 5.2414 5.2414 4.5393
angles (deg): 90.00 90.00 90.00
Fractional coordinates of all 5 atoms:
Hf (0.0000, 0.0000, 0.0000)
Sc (0.0000, 0.5000, 0.0000)
Sc (0.5000, 0.0000, 0.0000)
Ni (0.0000, 0.0000, 0.5000)
Sn (0.5000, 0.5000, 0.5000)